Record 1
This record from Alexandria describes crystalline Cs2PaAu2O6 at its relaxed geometry. The functional is GGA-PBE.

Structure (CIF):
```
data_Cs2PaAu2O6
_chemical_formula_sum 'Cs2 Pa1 Au2 O6'
_cell_length_a 6.499
_cell_length_b 6.499
_cell_length_c 7.403
_cell_angle_alpha 63.96
_cell_angle_beta 63.96
_cell_angle_gamma 60.00
_space_group_name_H-M_alt 'P 1'
_space_group_IT_number 1
_space_group_name_Hall 'P 1'
loop_
_atom_site_label
_atom_site_type_symbol
_atom_site_fract_x
_atom_site_fract_y
_atom_site_fract_z
O1 O 0.779 0.231 0.210
Cs1 Cs 0.786 0.786 0.643
O2 O 0.221 0.769 0.790
O3 O 0.231 0.779 0.210
O4 O 0.221 0.221 0.790
O5 O 0.779 0.779 0.210
Cs2 Cs 0.214 0.214 0.357
Au1 Au 0.594 0.594 0.218
O6 O 0.769 0.221 0.790
Pa1 Pa 0.000 0.000 0.000
Au2 Au 0.406 0.406 0.782
```



Record 2
This record from Alexandria describes crystalline Cs2PaAuO4 at its relaxed geometry. The functional is GGA-PBE.

Structure (CIF):
```
data_Cs2PaAuO4
_chemical_formula_sum 'Cs2 Pa1 Au1 O4'
_cell_length_a 6.351
_cell_length_b 6.351
_cell_length_c 6.351
_cell_angle_alpha 98.38
_cell_angle_beta 115.28
_cell_angle_gamma 115.28
_space_group_name_H-M_alt 'P 1'
_space_group_IT_number 1
_space_group_name_Hall 'P 1'
loop_
_atom_site_label
_atom_site_type_symbol
_atom_site_fract_x
_atom_site_fract_y
_atom_site_fract_z
O1 O 0.436 0.903 0.753
Cs1 Cs 0.000 0.000 0.000
O2 O 0.850 0.533 0.097
Cs2 Cs 0.500 0.750 0.250
Pa1 Pa 0.500 0.250 0.750
Au1 Au 0.000 0.500 0.500
O3 O 0.150 0.247 0.683
O4 O 0.564 0.317 0.467
```



Record 3
This record from Alexandria describes crystalline Cs2PbAu2O6 at its relaxed geometry. The functional is GGA-PBE.

Structure (CIF):
```
data_Cs2PbAu2O6
_chemical_formula_sum 'Cs2 Pb1 Au2 O6'
_cell_length_a 6.365
_cell_length_b 6.365
_cell_length_c 7.604
_cell_angle_alpha 65.26
_cell_angle_beta 65.26
_cell_angle_gamma 60.00
_space_group_name_H-M_alt 'P 1'
_space_group_IT_number 1
_space_group_name_Hall 'P 1'
loop_
_atom_site_label
_atom_site_type_symbol
_atom_site_fract_x
_atom_site_fract_y
_atom_site_fract_z
O1 O 0.227 0.769 0.777
Pb1 Pb 0.000 0.000 0.000
O2 O 0.773 0.773 0.223
O3 O 0.231 0.773 0.223
Au1 Au 0.401 0.401 0.797
O4 O 0.769 0.227 0.777
Au2 Au 0.599 0.599 0.203
Cs1 Cs 0.211 0.211 0.366
O5 O 0.227 0.227 0.777
Cs2 Cs 0.789 0.789 0.634
O6 O 0.773 0.231 0.223
```



Record 4
This record from Alexandria describes crystalline Cs6PdAu2O at its relaxed geometry. The functional is GGA-PBE.

Structure (CIF):
```
data_Cs6PdAu2O
_chemical_formula_sum 'Cs6 Pd1 Au2 O1'
_cell_length_a 8.817
_cell_length_b 8.816
_cell_length_c 8.823
_cell_angle_alpha 60.02
_cell_angle_beta 60.02
_cell_angle_gamma 60.00
_space_group_name_H-M_alt 'P 1'
_space_group_IT_number 1
_space_group_name_Hall 'P 1'
loop_
_atom_site_label
_atom_site_type_symbol
_atom_site_fract_x
_atom_site_fract_y
_atom_site_fract_z
Au1 Au 0.036 0.036 0.891
O1 O 0.317 0.317 0.050
Cs1 Cs 0.114 0.450 0.789
Cs2 Cs 0.450 0.647 0.789
Pd1 Pd 0.809 0.809 0.572
Au2 Au 0.542 0.542 0.375
Cs3 Cs 0.999 0.563 0.254
Cs4 Cs 0.184 0.999 0.254
Cs5 Cs 0.563 0.184 0.254
Cs6 Cs 0.647 0.114 0.789
```



Number 1: ΔE_f (raw) -1.45 eV/atom, final energy -5.7697 eV per atom, ρ 7.0 g cm⁻³. Number 2: ΔE_f (raw) -1.82 eV/atom, final energy -6.1045 eV per atom, ρ 6.6 g cm⁻³. Number 3: ΔE_f (raw) -0.51 eV/atom, final energy -4.2987 eV per atom, ρ 6.8 g cm⁻³. Number 4: ΔE_f (raw) -0.38 eV/atom, final energy -2.5621 eV per atom, ρ 4.5 g cm⁻³.